Ba2SrF8 | PBE | relaxed

Cell lengths 4.3850, 6.3732, 7.6337 Å; angles 114.67, 106.69, 90.00 degrees
Closest atoms and distances in Å follow each position.
Fractional positions:
F1 0.3439 0.5861 0.6878  1 Sr 2.63, 3 Ba 2.68-2.70, 2 F 2.80
F2 0.6561 0.8984 0.3122  1 Sr 2.63, 3 Ba 2.68-2.70, 2 F 2.80
F3 0.3439 0.1016 0.6878  1 Sr 2.63, 3 Ba 2.68-2.70, 2 F 2.80
F4 0.1137 0.1137 0.2274  6 F 2.51-2.80, 2 Sr 2.65
Ba1 0.8169 0.3169 0.6338  8 F 2.68-2.70
F5 0.6561 0.4139 0.3122  1 Sr 2.63, 3 Ba 2.68-2.70, 2 F 2.80
Ba2 0.1831 0.6831 0.3662  8 F 2.68-2.70
F6 0.8863 0.8863 0.7726  6 F 2.51-2.80, 2 Sr 2.65
Sr1 0.5000 0.0000 0.0000  8 F 2.63-2.65
F7 0.0000 0.6842 0.0000  3 F 2.35-2.51
F8 0.0000 0.3158 0.0000  3 F 2.35-2.51

Properties
DOS at the Fermi energy = 7.56 states/eV/cell
E_form (uncorrected) = -3.116 eV per atom